Record 1
{"formula": "CdHgRh2", "functional": "PBE", "state": "relaxed", "cell": [[-1.082, 0.316, 4.451], [-0.405, 4.125, 1.977], [-4.137, 1.549, 1.253]], "species": ["Rh", "Rh", "Hg", "Cd"], "frac_coords": [[0.250, 0.250, 0.250], [0.750, 0.750, 0.750], [0.500, 0.500, 0.500], [0.000, 0.000, 0.000]], "n_ef_per_ev_fu": 4.23, "formation_enthalpy_0k_ev_per_atom": 0.059}


Record 2
{"formula": "V2GaNiN", "functional": "PBE", "state": "relaxed", "cell": [[-0.273, -3.605, 1.461], [2.083, -1.372, -2.997], [3.256, 0.566, 2.004]], "species": ["Ni", "N", "Ga", "V", "V"], "frac_coords": [[0.000, 0.000, 0.500], [0.000, 0.000, 0.000], [0.500, 0.500, 0.500], [0.000, 0.500, 0.000], [0.500, 0.000, 0.000]], "n_ef_per_ev_fu": 3.87, "dft_energy_ev_per_atom": -7.58}